A relaxed structure of Pa2TaSi3Ir4. Source: Alexandria via LeMat-Bulk, functional PBE-GGA.

Properties
The calculation puts the calculated volume at 175.4 Å³ per cell. The calculation puts the total energy at -9.167 eV per atom. The value obtained for the size of the total moment is 0.000 μB per formula unit. The value obtained for the formation energy (no corrections) is -0.9114 eV per atom.

Cell: 4.1007 4.1007 10.4283 Å, 90.00 90.00 90.00°
With the nearest neighbours (Å) after each atom.
Space group P-4m2 (No. 115)
One atom of each set of equivalent atoms:
1 Pa 0.0000 0.5000 0.2390  6 Si 3.12-3.41, 8 Ir 3.15-3.23, 2 Ta 3.41
2 Ta 0.0000 0.0000 0.5000  4 Ir 2.54
3 Si 0.0000 0.5000 0.8715  5 Ir 2.38-2.45
4 Si 0.5000 0.5000 0.5000  4 Ir 2.54
5 Ir 0.0000 0.0000 0.0000  4 Si 2.45
6 Ir 0.0000 0.5000 0.6430  3 Si 2.38-2.54, 2 Ta 2.54
7 Ir 0.5000 0.5000 0.0000  4 Si 2.45